Record 1
Here is a relaxed structure of Ba2MoPt from Alexandria via LeMat-Bulk. Energies are from PBE.

* magnetic moment: 3.84 μB per cell
* calculated formation energy: 11.7 kcal/mol of atoms
* crystal system: tetragonal
* total DFT energy (no corrections): -4.67 eV per atom

Cell lengths 3.9075, 3.9075, 8.1292 Å; angles 90.00, 90.00, 90.00 degrees
Sites, in units of the cell vectors:
Ba1 0.0000 0.0000 0.2258
Ba2 0.0000 0.0000 0.7742
Mo1 0.5000 0.5000 0.5000
Pt1 0.5000 0.5000 0.0000

=====

Record 2
Here is a relaxed structure of BaMoPt from Alexandria via LeMat-Bulk. Energies are from PBE.

* magnetic moment: 0.00 μB per cell
* calculated formation energy: 1.5 kcal/mol of atoms
* crystal system: orthorhombic
* total DFT energy (no corrections): -6.20 eV per atom

Cell lengths 7.5214, 4.5897, 9.0280 Å; angles 90.00, 90.00, 90.00 degrees
Sites, in units of the cell vectors:
Ba1 0.0788 0.2500 0.1515
Ba2 0.4212 0.7500 0.6515
Ba3 0.5788 0.2500 0.3485
Ba4 0.9212 0.7500 0.8485
Mo1 0.0328 0.2500 0.5610
Mo2 0.4672 0.7500 0.0610
Mo3 0.5328 0.2500 0.9390
Mo4 0.9672 0.7500 0.4390
Pt1 0.2235 0.2500 0.8106
Pt2 0.2765 0.7500 0.3106
Pt3 0.7235 0.2500 0.6894
Pt4 0.7765 0.7500 0.1894

=====

Record 3
Here is a relaxed structure of BaMoPt from Alexandria via LeMat-Bulk. Energies are from PBE.

* magnetic moment: 0.00 μB per cell
* calculated formation energy: 4.2 kcal/mol of atoms
* crystal system: hexagonal
* total DFT energy (no corrections): -6.08 eV per atom

Cell lengths 4.3041, 4.3041, 10.7043 Å; angles 90.00, 90.00, 120.00 degrees
Sites, in units of the cell vectors:
Ba1 0.0000 0.0000 0.0000
Ba2 0.0000 0.0000 0.5000
Mo1 0.3333 0.6667 0.2500
Mo2 0.6667 0.3333 0.7500
Pt1 0.3333 0.6667 0.7500
Pt2 0.6667 0.3333 0.2500

=====

Record 4
Here is a relaxed structure of Ba2MoPt from Alexandria via LeMat-Bulk. Energies are from PBE.

* magnetic moment: 0.81 μB per cell
* calculated formation energy: 4.4 kcal/mol of atoms
* crystal system: orthorhombic
* total DFT energy (no corrections): -4.99 eV per atom

Cell lengths 4.4628, 6.3816, 6.3816 Å; angles 47.37, 90.00, 90.00 degrees
Sites, in units of the cell vectors:
Ba1 0.0000 0.0000 0.0000
Ba2 0.5000 0.2915 0.2915
Mo1 0.0000 0.6862 0.6862
Pt1 0.5000 0.5949 0.5949

=====

Record 5
Here is a relaxed structure of BaMoPt3 from Alexandria via LeMat-Bulk. Energies are from PBE.

* magnetic moment: 0.00 μB per cell
* calculated formation energy: 57.0 kcal/mol of atoms
* crystal system: cubic
* total DFT energy (no corrections): -3.70 eV per atom

Cell lengths 5.1823, 5.1823, 5.1823 Å; angles 90.00, 90.00, 90.00 degrees
Sites, in units of the cell vectors:
Ba1 0.0000 0.0000 0.0000
Mo1 0.5000 0.5000 0.5000
Pt1 0.0000 0.0000 0.5000
Pt2 0.0000 0.5000 0.0000
Pt3 0.5000 0.0000 0.0000

=====

Record 6
Here is a relaxed structure of BaMoPt4 from Alexandria via LeMat-Bulk. Energies are from PBE.

* magnetic moment: 3.82 μB per cell
* calculated formation energy: 1.0 kcal/mol of atoms
* crystal system: cubic
* total DFT energy (no corrections): -6.11 eV per atom

Cell lengths 5.5073, 5.5073, 5.5073 Å; angles 60.00, 60.00, 60.00 degrees
Sites, in units of the cell vectors:
Ba1 0.0000 0.0000 0.0000
Mo1 0.7500 0.7500 0.7500
Pt1 0.3759 0.3759 0.3759
Pt2 0.3759 0.3759 0.8722
Pt3 0.3759 0.8722 0.3759
Pt4 0.8722 0.3759 0.3759

=====

Record 7
Here is a relaxed structure of Ba2MoPt from Alexandria via LeMat-Bulk. Energies are from PBE.

* magnetic moment: 0.00 μB per cell
* calculated formation energy: 6.3 kcal/mol of atoms
* crystal system: orthorhombic
* total DFT energy (no corrections): -4.90 eV per atom

Cell lengths 6.9210, 6.9210, 6.9210 Å; angles 143.87, 135.74, 58.41 degrees
Sites, in units of the cell vectors:
Ba1 0.0000 0.0000 0.0000
Ba2 0.7235 0.2235 0.5000
Mo1 0.3137 0.8137 0.5000
Pt1 0.4094 0.4094 0.0000

=====

Record 8
Here is a relaxed structure of BaMoPt from Alexandria via LeMat-Bulk. Energies are from PBE.

* magnetic moment: 0.00 μB per cell
* calculated formation energy: 2.9 kcal/mol of atoms
* crystal system: triclinic
* total DFT energy (no corrections): -6.14 eV per atom

Cell lengths 3.8396, 6.4671, 6.5819 Å; angles 72.59, 73.18, 90.00 degrees
Sites, in units of the cell vectors:
Ba1 0.0337 0.2713 0.4464
Ba2 0.9663 0.7287 0.5536
Mo1 0.2860 0.9201 0.9278
Mo2 0.7140 0.0799 0.0722
Pt1 0.2920 0.3711 0.9142
Pt2 0.7080 0.6289 0.0858

=====

Record 9
Here is a relaxed structure of BaMoPt from Alexandria via LeMat-Bulk. Energies are from PBE.

* magnetic moment: 0.00 μB per cell
* calculated formation energy: 3.1 kcal/mol of atoms
* crystal system: tetragonal
* total DFT energy (no corrections): -6.13 eV per atom

Cell lengths 8.2102, 8.2102, 8.2102 Å; angles 146.80, 146.80, 47.65 degrees
Sites, in units of the cell vectors:
Ba1 0.0000 0.0000 0.0000
Ba2 0.7500 0.2500 0.5000
Mo1 0.4288 0.4288 0.0000
Mo2 0.5712 0.5712 0.0000
Pt1 0.1614 0.6614 0.5000
Pt2 0.3386 0.8386 0.5000

=====

Record 10
Here is a relaxed structure of BaMoPt3 from Alexandria via LeMat-Bulk. Energies are from PBE.

* magnetic moment: 0.00 μB per cell
* calculated formation energy: 1.3 kcal/mol of atoms
* crystal system: cubic
* total DFT energy (no corrections): -6.12 eV per atom

Cell lengths 4.9779, 4.9779, 4.9779 Å; angles 90.00, 90.00, 90.00 degrees
Sites, in units of the cell vectors:
Ba1 0.0000 0.0000 0.0000
Mo1 0.5000 0.5000 0.5000
Pt1 0.0000 0.5000 0.5000
Pt2 0.5000 0.0000 0.5000
Pt3 0.5000 0.5000 0.0000

=====

Record 11
Here is a relaxed structure of BaMo2Pt from Alexandria via LeMat-Bulk. Energies are from PBE.

* magnetic moment: 0.57 μB per cell
* calculated formation energy: 20.5 kcal/mol of atoms
* crystal system: cubic
* total DFT energy (no corrections): -6.52 eV per atom

Cell lengths 4.8551, 4.8551, 4.8551 Å; angles 60.00, 60.00, 60.00 degrees
Sites, in units of the cell vectors:
Ba1 0.0000 0.0000 0.0000
Mo1 0.2500 0.2500 0.2500
Mo2 0.5000 0.5000 0.5000
Pt1 0.7500 0.7500 0.7500

=====

Record 12
Here is a relaxed structure of BaMoPt from Alexandria via LeMat-Bulk. Energies are from PBE.

* magnetic moment: 0.00 μB per cell
* calculated formation energy: 1.1 kcal/mol of atoms
* crystal system: monoclinic
* total DFT energy (no corrections): -6.22 eV per atom

Cell lengths 6.1662, 6.1662, 7.9246 Å; angles 124.11, 124.11, 43.15 degrees
Sites, in units of the cell vectors:
Ba1 0.0000 0.0000 0.0000
Ba2 0.1402 0.1402 0.6945
Mo1 0.7251 0.7251 0.4134
Mo2 0.8098 0.8098 0.2192
Pt1 0.3437 0.3437 0.5210
Pt2 0.4329 0.4329 0.2520

=====

Record 13
Here is a relaxed structure of BaMoPt from Alexandria via LeMat-Bulk. Energies are from PBE.

* magnetic moment: 0.00 μB per cell
* calculated formation energy: -0.4 kcal/mol of atoms
* crystal system: orthorhombic
* total DFT energy (no corrections): -6.28 eV per atom

Cell lengths 6.6515, 6.6515, 5.2369 Å; angles 90.00, 90.00, 139.68 degrees
Sites, in units of the cell vectors:
Ba1 0.2087 0.7913 0.7500
Ba2 0.7913 0.2087 0.2500
Mo1 0.5000 0.5000 0.0000
Mo2 0.5000 0.5000 0.5000
Pt1 0.0520 0.9480 0.2500
Pt2 0.9480 0.0520 0.7500

=====

Record 14
Here is a relaxed structure of BaMoPt from Alexandria via LeMat-Bulk. Energies are from PBE.

* magnetic moment: 5.83 μB per cell
* calculated formation energy: 28.3 kcal/mol of atoms
* crystal system: hexagonal
* total DFT energy (no corrections): -5.04 eV per atom

Cell lengths 5.5484, 5.5484, 9.5765 Å; angles 90.00, 90.00, 120.00 degrees
Sites, in units of the cell vectors:
Ba1 0.3333 0.6667 0.2500
Ba2 0.6667 0.3333 0.7500
Mo1 0.0000 0.0000 0.2500
Mo2 0.0000 0.0000 0.7500
Pt1 0.0000 0.0000 0.0000
Pt2 0.0000 0.0000 0.5000

=====

Record 15
Here is a relaxed structure of BaMo2Pt from Alexandria via LeMat-Bulk. Energies are from PBE.

* magnetic moment: 0.00 μB per cell
* calculated formation energy: 24.5 kcal/mol of atoms
* crystal system: orthorhombic
* total DFT energy (no corrections): -6.34 eV per atom

Cell lengths 5.8455, 5.8455, 2.8394 Å; angles 90.00, 90.00, 122.48 degrees
Sites, in units of the cell vectors:
Ba1 0.0000 0.0000 0.0000
Mo1 0.0000 0.5000 0.5000
Mo2 0.5000 0.0000 0.5000
Pt1 0.5000 0.5000 0.0000

=====

Record 16
Here is a relaxed structure of BaMoPt from Alexandria via LeMat-Bulk. Energies are from PBE.

* magnetic moment: 0.00 μB per cell
* calculated formation energy: 7.0 kcal/mol of atoms
* crystal system: orthorhombic
* total DFT energy (no corrections): -5.96 eV per atom

Cell lengths 6.5314, 6.5314, 6.5314 Å; angles 152.68, 144.73, 45.18 degrees
Sites, in units of the cell vectors:
Ba1 0.0000 0.0000 0.0000
Mo1 0.2779 0.2779 0.0000
Pt1 0.7084 0.7084 0.0000

=====

Record 17
Here is a relaxed structure of BaMoPt from Alexandria via LeMat-Bulk. Energies are from PBE.

* magnetic moment: 0.00 μB per cell
* calculated formation energy: 3.9 kcal/mol of atoms
* crystal system: monoclinic
* total DFT energy (no corrections): -6.10 eV per atom

Cell lengths 6.6022, 6.6022, 6.3554 Å; angles 105.06, 105.06, 33.50 degrees
Sites, in units of the cell vectors:
Ba1 0.0000 0.0000 0.0000
Ba2 0.8336 0.1664 0.5000
Mo1 0.2195 0.3561 0.1272
Mo2 0.6439 0.7805 0.8728
Pt1 0.2203 0.3559 0.6645
Pt2 0.6441 0.7797 0.3355

=====

Record 18
Here is a relaxed structure of BaMo2Pt from Alexandria via LeMat-Bulk. Energies are from PBE.

* magnetic moment: 0.00 μB per cell
* calculated formation energy: 13.3 kcal/mol of atoms
* crystal system: tetragonal
* total DFT energy (no corrections): -6.83 eV per atom

Cell lengths 3.4962, 3.4962, 7.6106 Å; angles 90.00, 90.00, 90.00 degrees
Sites, in units of the cell vectors:
Ba1 0.0000 0.0000 0.0000
Mo1 0.5000 0.5000 0.3485
Mo2 0.5000 0.5000 0.6515
Pt1 0.0000 0.0000 0.5000

=====

Record 19
Here is a relaxed structure of BaMo2Pt from Alexandria via LeMat-Bulk. Energies are from PBE.

* magnetic moment: 0.00 μB per cell
* calculated formation energy: 27.2 kcal/mol of atoms
* crystal system: tetragonal
* total DFT energy (no corrections): -6.23 eV per atom

Cell lengths 4.8716, 4.8716, 3.2325 Å; angles 90.00, 90.00, 90.00 degrees
Sites, in units of the cell vectors:
Ba1 0.0000 0.0000 0.0000
Mo1 0.0000 0.5000 0.5000
Mo2 0.5000 0.0000 0.5000
Pt1 0.5000 0.5000 0.0000

=====

Record 20
Here is a relaxed structure of BaMo2Pt from Alexandria via LeMat-Bulk. Energies are from PBE.

* magnetic moment: 0.00 μB per cell
* calculated formation energy: 21.8 kcal/mol of atoms
* crystal system: monoclinic
* total DFT energy (no corrections): -6.46 eV per atom

Cell lengths 5.9538, 5.9538, 2.8661 Å; angles 99.32, 99.32, 122.64 degrees
Sites, in units of the cell vectors:
Ba1 0.0000 0.0000 0.0000
Mo1 0.0000 0.5000 0.5000
Mo2 0.5000 0.0000 0.5000
Pt1 0.5000 0.5000 0.0000

=====

Record 21
Here is a relaxed structure of BaMoPt from Alexandria via LeMat-Bulk. Energies are from PBE.

* magnetic moment: 0.00 μB per cell
* calculated formation energy: 1.4 kcal/mol of atoms
* crystal system: monoclinic
* total DFT energy (no corrections): -6.20 eV per atom

Cell lengths 4.3933, 4.4926, 8.4314 Å; angles 90.00, 91.88, 90.00 degrees
Sites, in units of the cell vectors:
Ba1 0.0000 0.0000 0.0000
Ba2 0.4816 0.5000 0.6546
Mo1 0.0034 0.5000 0.3502
Mo2 0.5541 0.5000 0.1935
Pt1 0.4344 0.0000 0.3139
Pt2 0.9503 0.0000 0.5209

=====

Record 22
Here is a relaxed structure of Ba2MoPt from Alexandria via LeMat-Bulk. Energies are from PBE.

* magnetic moment: 5.02 μB per cell
* calculated formation energy: 9.6 kcal/mol of atoms
* crystal system: tetragonal
* total DFT energy (no corrections): -4.76 eV per atom

Cell lengths 8.7923, 8.7923, 8.7923 Å; angles 94.52, 94.52, 147.38 degrees
Sites, in units of the cell vectors:
Ba1 0.3750 0.2053 0.3303
Ba2 0.7947 0.1250 0.1697
Ba3 0.8750 0.0447 0.6697
Ba4 0.9553 0.6250 0.8303
Mo1 0.2500 0.7500 0.5000
Mo2 0.5000 0.5000 0.0000
Pt1 0.0000 0.0000 0.0000
Pt2 0.7500 0.2500 0.5000

=====

Record 23
Here is a relaxed structure of BaMoPt from Alexandria via LeMat-Bulk. Energies are from PBE.

* magnetic moment: 0.00 μB per cell
* calculated formation energy: -1.0 kcal/mol of atoms
* crystal system: monoclinic
* total DFT energy (no corrections): -6.31 eV per atom

Cell lengths 4.6048, 4.6048, 7.7196 Å; angles 90.80, 90.80, 81.68 degrees
Sites, in units of the cell vectors:
Ba1 0.2454 0.2454 0.1514
Ba2 0.7546 0.7546 0.8486
Mo1 0.2900 0.7100 0.5000
Mo2 0.7100 0.2900 0.5000
Pt1 0.2131 0.2131 0.6556
Pt2 0.7869 0.7869 0.3444

=====

Record 24
Here is a relaxed structure of BaMoPt from Alexandria via LeMat-Bulk. Energies are from PBE.

* magnetic moment: 0.00 μB per cell
* calculated formation energy: 1.6 kcal/mol of atoms
* crystal system: monoclinic
* total DFT energy (no corrections): -6.19 eV per atom

Cell lengths 6.4177, 6.4177, 5.4590 Å; angles 90.26, 90.26, 41.69 degrees
Sites, in units of the cell vectors:
Ba1 0.0000 0.0000 0.0000
Ba2 0.5531 0.5531 0.4899
Mo1 0.2803 0.2803 0.7640
Mo2 0.8084 0.8084 0.4907
Pt1 0.2711 0.2711 0.2639
Pt2 0.7359 0.7359 0.9838

=====

Record 25
Here is a relaxed structure of BaMoPt from Alexandria via LeMat-Bulk. Energies are from PBE.

* magnetic moment: 0.58 μB per cell
* calculated formation energy: 1.3 kcal/mol of atoms
* crystal system: monoclinic
* total DFT energy (no corrections): -6.21 eV per atom

Cell lengths 5.9641, 5.9641, 5.2370 Å; angles 115.61, 115.61, 67.01 degrees
Sites, in units of the cell vectors:
Ba1 0.0000 0.0000 0.0000
Ba2 0.7448 0.7448 0.2488
Mo1 0.3213 0.3213 0.6943
Mo2 0.3877 0.3877 0.1885
Pt1 0.3876 0.8401 0.6227
Pt2 0.8401 0.3876 0.6227

=====

Record 26
Here is a relaxed structure of BaMo2Pt from Alexandria via LeMat-Bulk. Energies are from PBE.

* magnetic moment: 0.00 μB per cell
* calculated formation energy: 10.0 kcal/mol of atoms
* crystal system: monoclinic
* total DFT energy (no corrections): -6.97 eV per atom

Cell lengths 4.8562, 4.8562, 6.7861 Å; angles 103.66, 103.66, 39.87 degrees
Sites, in units of the cell vectors:
Ba1 0.0000 0.0000 0.0000
Mo1 0.1973 0.1973 0.5979
Mo2 0.5005 0.5005 0.4903
Pt1 0.7679 0.7679 0.3237

=====

Record 27
Here is a relaxed structure of BaMo2Pt from Alexandria via LeMat-Bulk. Energies are from PBE.

* magnetic moment: 0.02 μB per cell
* calculated formation energy: 23.8 kcal/mol of atoms
* crystal system: tetragonal
* total DFT energy (no corrections): -6.38 eV per atom

Cell lengths 4.0366, 4.0366, 5.2345 Å; angles 90.00, 90.00, 90.00 degrees
Sites, in units of the cell vectors:
Ba1 0.0000 0.0000 0.0000
Mo1 0.0000 0.5000 0.5000
Mo2 0.5000 0.0000 0.5000
Pt1 0.5000 0.5000 0.0000

=====

Record 28
Here is a relaxed structure of BaMo2Pt from Alexandria via LeMat-Bulk. Energies are from PBE.

* magnetic moment: 0.00 μB per cell
* calculated formation energy: 13.4 kcal/mol of atoms
* crystal system: monoclinic
* total DFT energy (no corrections): -6.83 eV per atom

Cell lengths 3.3884, 4.8656, 6.2226 Å; angles 90.00, 102.66, 90.00 degrees
Sites, in units of the cell vectors:
Ba1 0.0000 0.0000 0.0000
Mo1 0.2903 0.5000 0.6361
Mo2 0.7097 0.5000 0.3639
Pt1 0.5000 0.0000 0.5000